# CdSnMo2, relaxed, DFT GGA-PBE
# Energy, eV/atom: -5.71
# DOS(E_F), states/eV/f.u.: 4.84
# Polymorph energy (0 for the lowest one), meV/atom: 355
# Total magnetization, μB/cell: 1.966
# ΔE_f, eV/atom: 0.932
data_CdSnMo2
_space_group_name_H-M_alt 'I -4 2 d'
_space_group_IT_number 122
_space_group_name_Hall 'I -4 2bw'
_cell_length_a 7.565
_cell_length_b 7.565
_cell_length_c 5.595
_cell_angle_alpha 90.00
_cell_angle_beta 90.00
_cell_angle_gamma 90.00
loop_
_atom_site_label
_atom_site_type_symbol
_atom_site_fract_x
_atom_site_fract_y
_atom_site_fract_z
Cd1 Cd 0.000 0.000 0.000
Sn1 Sn 0.000 0.000 0.500
Mo1 Mo 0.235 0.250 0.625